{
  "formula": "Ta4SbAuN2",
  "functional": "PBE",
  "state": "optimized geometry",
  "volume_a3_per_atom": 15.2,
  "magmom_total_mub_per_cell": 0.0,
  "energy_ev_per_atom": -9.349,
  "rho_g_cm3": 14.6,
  "sg": "P-6m2 (187)",
  "lattice": [[3.2592, 0.0000, 0.0000], [-1.6296, 2.8226, 0.0000], [0.0000, 0.0000, 13.2497]],
  "species": ["Ta", "Ta", "Ta", "Ta", "Sb", "Au", "N", "N"],
  "frac_coords": [[0.0000, 0.0000, 0.1649], [0.0000, 0.0000, 0.8351], [0.6667, 0.3333, 0.3308], [0.6667, 0.3333, 0.6692], [0.0000, 0.0000, 0.5000], [0.6667, 0.3333, 0.0000], [0.3333, 0.6667, 0.2470], [0.3333, 0.6667, 0.7530]]
}